Entry 1:
Compound: CsScB2H8
Source: Alexandria via LeMat-Bulk
Functional: PBE
Structure: optimized geometry

Calculated values
Final energy: -4.161 eV/atom
M_tot: 0.00 Bohr magnetons per cell
Calculated density: 2.9 Mg/m³

Cell lengths 8.7998, 8.7998, 8.7998 Å; angles 26.58, 26.58, 26.58 degrees
Closest atoms and distances in Å follow each position.
Sites, in units of the cell vectors:
Cs  0.0000  0.0000  0.0000  6 H 2.75
Sc  0.5000  0.5000  0.5000  12 H 2.32
B  0.2280  0.2280  0.2280  4 H 1.22-1.24
B  0.7720  0.7720  0.7720  4 H 1.22-1.24
H  0.0443  0.0443  0.5459  1 B 1.24
H  0.0443  0.5459  0.0443  1 B 1.24
H  0.2760  0.2760  0.2760  1 B 1.22
H  0.4541  0.9557  0.9557  1 B 1.24
H  0.5459  0.0443  0.0443  1 B 1.24
H  0.7240  0.7240  0.7240  1 B 1.22
H  0.9557  0.4541  0.9557  1 B 1.24
H  0.9557  0.9557  0.4541  1 B 1.24

Entry 2:
Compound: Tl3Te5I12
Source: Alexandria via LeMat-Bulk
Functional: PBE
Structure: optimized geometry

Calculated values
M_tot: 0.00 Bohr magnetons per cell
E_form (uncorrected): -8 meV per atom
Calculated density: 3.9 Mg/m³

Cell lengths 18.2343, 18.2343, 18.2343 Å; angles 109.47, 109.47, 109.47 degrees
Closest atoms and distances in Å follow each position.
Sites, in units of the cell vectors:
Tl  0.1250  0.2500  0.3750  4 I 4.04
Tl  0.1250  0.3750  0.7500  4 I 4.04
Tl  0.2500  0.3750  0.1250  4 I 4.04
Tl  0.2500  0.8750  0.6250  4 I 4.04
Tl  0.3750  0.1250  0.2500  4 I 4.04
Tl  0.3750  0.7500  0.1250  4 I 4.04
Tl  0.6250  0.2500  0.8750  4 I 4.04
Tl  0.6250  0.8750  0.7500  4 I 4.04
Tl  0.7500  0.1250  0.3750  4 I 4.04
Tl  0.7500  0.6250  0.8750  4 I 4.04
Tl  0.8750  0.6250  0.2500  4 I 4.04
Tl  0.8750  0.7500  0.6250  4 I 4.04
Te  0.0000  0.0000  0.0000  6 I 3.13
Te  0.0000  0.0000  0.5000  6 I 3.13
Te  0.0000  0.5000  0.0000  6 I 3.13
Te  0.0000  0.5000  0.5000  6 I 3.13
Te  0.1250  0.7500  0.8750  4 I 3.04
Te  0.1250  0.8750  0.2500  4 I 3.04
Te  0.2500  0.1250  0.8750  4 I 3.04
Te  0.2500  0.6250  0.3750  4 I 3.04
Te  0.3750  0.2500  0.6250  4 I 3.04
Te  0.3750  0.6250  0.7500  4 I 3.04
Te  0.5000  0.0000  0.0000  6 I 3.13
Te  0.5000  0.0000  0.5000  6 I 3.13
Te  0.5000  0.5000  0.0000  6 I 3.13
Te  0.5000  0.5000  0.5000  6 I 3.13
Te  0.6250  0.3750  0.2500  4 I 3.04
Te  0.6250  0.7500  0.3750  4 I 3.04
Te  0.7500  0.3750  0.6250  4 I 3.04
Te  0.7500  0.8750  0.1250  4 I 3.04
Te  0.8750  0.1250  0.7500  4 I 3.04
Te  0.8750  0.2500  0.1250  4 I 3.04
I  0.0064  0.6748  0.1169  2 Te 3.04-3.13
I  0.0064  0.8316  0.8895  2 Te 3.04-3.13
I  0.0579  0.6684  0.6748  2 Te 3.04-3.13
I  0.0579  0.8895  0.3831  2 Te 3.04-3.13
I  0.1105  0.6169  0.9421  2 Te 3.04-3.13
I  0.1105  0.9936  0.1684  2 Te 3.04-3.13
I  0.1169  0.0064  0.6748  2 Te 3.04-3.13
I  0.1169  0.6105  0.4421  2 Te 3.04-3.13
I  0.1684  0.1105  0.9936  2 Te 3.04-3.13
I  0.1684  0.5579  0.1748  2 Te 3.04-3.13
I  0.1748  0.1684  0.5579  2 Te 3.04-3.13
I  0.1748  0.5064  0.6169  2 Te 3.04-3.13
I  0.3252  0.8831  0.9936  2 Te 3.04-3.13
I  0.3252  0.9421  0.3316  2 Te 3.04-3.13
I  0.3316  0.3252  0.9421  2 Te 3.04-3.13
I  0.3316  0.5064  0.3895  2 Te 3.04-3.13
I  0.3831  0.0579  0.8895  2 Te 3.04-3.13
I  0.3831  0.8252  0.4936  2 Te 3.04-3.13
I  0.3895  0.3316  0.5064  2 Te 3.04-3.13
I  0.3895  0.5579  0.8831  2 Te 3.04-3.13
I  0.4421  0.1169  0.6105  2 Te 3.04-3.13
I  0.4421  0.8252  0.8316  2 Te 3.04-3.13
I  0.4936  0.3831  0.8252  2 Te 3.04-3.13
I  0.4936  0.6105  0.6684  2 Te 3.04-3.13
I  0.5064  0.3895  0.3316  2 Te 3.04-3.13
I  0.5064  0.6169  0.1748  2 Te 3.04-3.13
I  0.5579  0.1748  0.1684  2 Te 3.04-3.13
I  0.5579  0.8831  0.3895  2 Te 3.04-3.13
I  0.6105  0.4421  0.1169  2 Te 3.04-3.13
I  0.6105  0.6684  0.4936  2 Te 3.04-3.13
I  0.6169  0.1748  0.5064  2 Te 3.04-3.13
I  0.6169  0.9421  0.1105  2 Te 3.04-3.13
I  0.6684  0.4936  0.6105  2 Te 3.04-3.13
I  0.6684  0.6748  0.0579  2 Te 3.04-3.13
I  0.6748  0.0579  0.6684  2 Te 3.04-3.13
I  0.6748  0.1169  0.0064  2 Te 3.04-3.13
I  0.8252  0.4936  0.3831  2 Te 3.04-3.13
I  0.8252  0.8316  0.4421  2 Te 3.04-3.13
I  0.8316  0.4421  0.8252  2 Te 3.04-3.13
I  0.8316  0.8895  0.0064  2 Te 3.04-3.13
I  0.8831  0.3895  0.5579  2 Te 3.04-3.13
I  0.8831  0.9936  0.3252  2 Te 3.04-3.13
I  0.8895  0.0064  0.8316  2 Te 3.04-3.13
I  0.8895  0.3831  0.0579  2 Te 3.04-3.13
I  0.9421  0.1105  0.6169  2 Te 3.04-3.13
I  0.9421  0.3316  0.3252  2 Te 3.04-3.13
I  0.9936  0.1684  0.1105  2 Te 3.04-3.13
I  0.9936  0.3252  0.8831  2 Te 3.04-3.13

Entry 3:
Compound: CsRb2CdCl
Source: Alexandria via LeMat-Bulk
Functional: PBE
Structure: optimized geometry

Calculated values
M_tot: 0.00 Bohr magnetons per cell
E_form (uncorrected): -690 meV per atom
Calculated density: 2.7 Mg/m³

Cell lengths 6.4367, 6.4367, 6.8113 Å; angles 90.00, 90.00, 90.00 degrees
Closest atoms and distances in Å follow each position.
Sites, in units of the cell vectors:
Cs  0.0000  0.0000  0.0000  2 Cl 3.41
Rb  0.0000  0.5000  0.5000  2 Cl 3.22
Rb  0.5000  0.0000  0.5000  2 Cl 3.22
Cd  0.5000  0.5000  0.0000  4 Cs 4.55, 8 Rb 4.69
Cl  0.0000  0.0000  0.5000  4 Rb 3.22, 2 Cs 3.41

Entry 4:
Compound: Li2TlCdI6
Source: Alexandria via LeMat-Bulk
Functional: PBE
Structure: optimized geometry

Calculated values
M_tot: 2.03 Bohr magnetons per cell
E_form (uncorrected): -719 meV per atom
Calculated density: 3.8 Mg/m³

Cell lengths 11.0578, 11.0578, 8.8405 Å; angles 109.21, 109.21, 92.29 degrees
Closest atoms and distances in Å follow each position.
Sites, in units of the cell vectors:
Li  0.0780  0.2468  0.1148  4 I 2.76-2.81
Li  0.2468  0.0780  0.6148  4 I 2.76-2.81
Li  0.7532  0.9220  0.3852  4 I 2.76-2.81
Li  0.9220  0.7532  0.8852  4 I 2.76-2.81
Tl  0.3855  0.6145  0.7500  6 I 3.58-3.59
Tl  0.6145  0.3855  0.2500  6 I 3.58-3.59
Cd  0.3296  0.6704  0.2500  4 I 2.80-2.89
Cd  0.6704  0.3296  0.7500  4 I 2.80-2.89
I  0.0738  0.1631  0.3814  2 Li 2.76-2.81
I  0.1379  0.6320  0.9312  1 Li 2.76, 1 Cd 2.80
I  0.1631  0.0738  0.8814  2 Li 2.76-2.81
I  0.3091  0.4281  0.3043  1 Li 2.81, 1 Cd 2.89
I  0.3680  0.8621  0.5688  1 Li 2.76, 1 Cd 2.80
I  0.4281  0.3091  0.8043  1 Li 2.81, 1 Cd 2.89
I  0.5719  0.6909  0.1957  1 Li 2.81, 1 Cd 2.89
I  0.6320  0.1379  0.4312  1 Li 2.76, 1 Cd 2.80
I  0.6909  0.5719  0.6957  1 Li 2.81, 1 Cd 2.89
I  0.8369  0.9262  0.1186  2 Li 2.76-2.81
I  0.8621  0.3680  0.0688  1 Li 2.76, 1 Cd 2.80
I  0.9262  0.8369  0.6186  2 Li 2.76-2.81

Entry 5:
Compound: Pa2CoNi3P4
Source: Alexandria via LeMat-Bulk
Functional: PBE
Structure: optimized geometry

Calculated values
M_tot: 0.00 Bohr magnetons per cell
Energy of formation: -0.92 eV per atom
Calculated density: 9.5 Mg/m³

Cell lengths 4.0663, 4.0663, 8.7227 Å; angles 90.00, 90.00, 90.00 degrees
Closest atoms and distances in Å follow each position.
Sites, in units of the cell vectors:
Pa  0.0000  0.5000  0.2489  2 Co 2.97, 7 Ni 2.97-3.18, 9 P 2.99-3.30
Pa  0.5000  0.0000  0.7511  2 Co 2.97, 7 Ni 2.97-3.18, 9 P 2.99-3.30
Co  0.5000  0.5000  0.0000  4 P 2.32
Ni  0.0000  0.0000  0.0000  4 P 2.32
Ni  0.0000  0.5000  0.6134  5 P 2.25-2.26
Ni  0.5000  0.0000  0.3866  5 P 2.25-2.26
P  0.0000  0.0000  0.5000  4 Ni 2.26
P  0.0000  0.5000  0.8711  3 Ni 2.25-2.32, 2 Co 2.32
P  0.5000  0.0000  0.1289  3 Ni 2.25-2.32, 2 Co 2.32
P  0.5000  0.5000  0.5000  4 Ni 2.26

Entry 6:
Compound: Pm12Mg2In5
Source: Alexandria via LeMat-Bulk
Functional: PBE
Structure: optimized geometry

Calculated values
M_tot: 0.00 Bohr magnetons per cell
Energy of formation: -0.18 eV per atom
Calculated density: 6.8 Mg/m³

Cell lengths 8.4244, 8.4244, 8.7097 Å; angles 93.74, 93.74, 70.20 degrees
Closest atoms and distances in Å follow each position.
Sites, in units of the cell vectors:
Pm  0.0810  0.6795  0.1411  2 In 3.20-3.33, 4 Pm 3.40-3.54, 1 Mg 3.43
Pm  0.0833  0.0833  0.1796  2 In 3.20-3.23, 6 Pm 3.32-3.47, 2 Mg 3.50
Pm  0.1637  0.5346  0.7044  1 Mg 3.18, 2 In 3.21-3.44, 2 Pm 3.32-3.54
Pm  0.3205  0.9190  0.8589  2 In 3.20-3.33, 4 Pm 3.40-3.54, 1 Mg 3.43
Pm  0.4034  0.4034  0.3570  3 In 3.27-3.50, 5 Pm 3.46-3.65
Pm  0.4654  0.8363  0.2956  1 Mg 3.18, 2 In 3.21-3.44, 2 Pm 3.32-3.54
Pm  0.5346  0.1637  0.7044  1 Mg 3.18, 2 In 3.21-3.44, 2 Pm 3.32-3.54
Pm  0.5966  0.5966  0.6430  3 In 3.27-3.50, 5 Pm 3.46-3.65
Pm  0.6795  0.0810  0.1411  2 In 3.20-3.33, 4 Pm 3.40-3.54, 1 Mg 3.43
Pm  0.8363  0.4654  0.2956  1 Mg 3.18, 2 In 3.21-3.44, 2 Pm 3.32-3.54
Pm  0.9167  0.9167  0.8204  2 In 3.20-3.23, 6 Pm 3.32-3.47, 2 Mg 3.50
Pm  0.9190  0.3205  0.8589  2 In 3.20-3.33, 4 Pm 3.40-3.54, 1 Mg 3.43
Mg  0.1668  0.8332  0.5000  2 In 2.98, 2 Pm 3.18, 1 Mg 3.23
Mg  0.8332  0.1668  0.5000  2 In 2.98, 2 Pm 3.18, 1 Mg 3.23
In  0.1822  0.1822  0.5285  2 Mg 2.98, 3 Pm 3.21-3.23
In  0.2834  0.2834  0.0170  1 In 3.00, 6 Pm 3.20-3.33
In  0.5000  0.5000  0.0000  2 In 3.00
In  0.7166  0.7166  0.9830  1 In 3.00, 6 Pm 3.20-3.33
In  0.8178  0.8178  0.4715  2 Mg 2.98, 3 Pm 3.21-3.23

Entry 7:
Compound: Y2MoBr
Source: Alexandria via LeMat-Bulk
Functional: PBE
Structure: optimized geometry

Calculated values
Energy above the most stable polymorph in this dataset: 28.3 meV/atom
M_tot: 0.00 Bohr magnetons per cell
E_form (uncorrected): -307 meV per atom
Calculated density: 5.9 Mg/m³

Cell lengths 4.9186, 4.9449, 8.1924 Å; angles 90.00, 90.00, 90.00 degrees
Closest atoms and distances in Å follow each position.
Sites, in units of the cell vectors:
Y  0.0000  0.0000  0.2104  4 Mo 3.00-3.01
Y  0.0000  0.0000  0.7896  4 Mo 3.00-3.01
Y  0.5000  0.5000  0.2104  4 Mo 3.00-3.01
Y  0.5000  0.5000  0.7896  4 Mo 3.00-3.01
Mo  0.0000  0.5000  0.0000  8 Y 3.00-3.01
Mo  0.5000  0.0000  0.0000  8 Y 3.00-3.01
Br  0.0000  0.5000  0.5000  8 Y 3.42-3.43, 4 Br 3.49
Br  0.5000  0.0000  0.5000  8 Y 3.42-3.43, 4 Br 3.49

Entry 8:
Compound: YHf2Mo2
Source: Alexandria via LeMat-Bulk
Functional: PBE
Structure: optimized geometry

Calculated values
M_tot: 0.00 Bohr magnetons per cell
Energy of formation: 0.21 eV per atom
Calculated density: 10.0 Mg/m³

Cell lengths 7.8803, 7.8803, 3.3965 Å; angles 90.00, 90.00, 90.00 degrees
Closest atoms and distances in Å follow each position.
Sites, in units of the cell vectors:
Y  0.0000  0.0000  0.0000  4 Mo 3.02
Y  0.5000  0.5000  0.0000  4 Mo 3.02
Hf  0.1434  0.3566  0.5000  6 Mo 2.85-2.89
Hf  0.3566  0.8566  0.5000  6 Mo 2.85-2.89
Hf  0.6434  0.1434  0.5000  6 Mo 2.85-2.89
Hf  0.8566  0.6434  0.5000  6 Mo 2.85-2.89
Mo  0.1463  0.6463  0.0000  6 Hf 2.85-2.89, 2 Y 3.02
Mo  0.3537  0.1463  0.0000  6 Hf 2.85-2.89, 2 Y 3.02
Mo  0.6463  0.8537  0.0000  6 Hf 2.85-2.89, 2 Y 3.02
Mo  0.8537  0.3537  0.0000  6 Hf 2.85-2.89, 2 Y 3.02

Entry 9:
Compound: Be2ZnP
Source: Alexandria via LeMat-Bulk
Functional: PBE
Structure: optimized geometry

Calculated values
Energy above the most stable polymorph in this dataset: 61.5 meV/atom
M_tot: 0.00 Bohr magnetons per cell
Energy of formation: 0.29 eV per atom
Calculated density: 3.9 Mg/m³

Cell lengths 2.5900, 3.6474, 10.4120 Å; angles 90.00, 90.00, 90.00 degrees
Closest atoms and distances in Å follow each position.
Sites, in units of the cell vectors:
Be  0.0000  0.0000  0.0000  2 P 2.32, 4 Zn 2.33, 2 Be 2.59
Be  0.0000  0.5000  0.2710  4 P 2.41, 2 Zn 2.52, 2 Be 2.59
Be  0.5000  0.0000  0.7710  4 P 2.41, 2 Zn 2.52, 2 Be 2.59
Be  0.5000  0.5000  0.5000  2 P 2.32, 4 Zn 2.33, 2 Be 2.59
Zn  0.0000  0.0000  0.4379  6 Be 2.33-2.52, 2 Zn 2.59
Zn  0.5000  0.5000  0.9379  6 Be 2.33-2.52, 2 Zn 2.59
P  0.0000  0.5000  0.6848  6 Be 2.32-2.41, 2 P 2.59
P  0.5000  0.0000  0.1848  6 Be 2.32-2.41, 2 P 2.59

Entry 10:
Compound: CaCo2As
Source: Alexandria via LeMat-Bulk
Functional: PBE
Structure: optimized geometry

Calculated values
M_tot: 5.35 Bohr magnetons per cell
Energy of formation: 0.29 eV per atom
Calculated density: 6.0 Mg/m³

Cell lengths 5.6973, 8.7330, 2.9649 Å; angles 90.00, 119.91, 90.00 degrees
Closest atoms and distances in Å follow each position.
Sites, in units of the cell vectors:
Ca  0.0000  0.0000  0.0000  4 Co 2.62, 4 As 2.85-2.91
Ca  0.5000  0.5000  0.0000  4 Co 2.62, 4 As 2.85-2.91
Co  0.2500  0.2500  0.5000  2 As 2.62, 2 Ca 2.62, 4 Co 2.85-2.91
Co  0.2500  0.7500  0.5000  2 As 2.62, 2 Ca 2.62, 4 Co 2.85-2.91
Co  0.7500  0.2500  0.5000  2 As 2.62, 2 Ca 2.62, 4 Co 2.85-2.91
Co  0.7500  0.7500  0.5000  2 As 2.62, 2 Ca 2.62, 4 Co 2.85-2.91
As  0.0000  0.5000  0.0000  4 Co 2.62, 4 Ca 2.85-2.91
As  0.5000  0.0000  0.0000  4 Co 2.62, 4 Ca 2.85-2.91

Entry 11:
Compound: ErScZn4
Source: Alexandria via LeMat-Bulk
Functional: PBE
Structure: optimized geometry

Calculated values
Energy above the most stable polymorph in this dataset: 0.0 meV/atom
M_tot: 0.00 Bohr magnetons per cell
Energy of formation: -0.36 eV per atom
Calculated density: 7.0 Mg/m³

Cell lengths 4.4189, 6.6146, 7.6552 Å; angles 90.00, 90.00, 90.00 degrees
Closest atoms and distances in Å follow each position.
Sites, in units of the cell vectors:
Er  0.0000  0.0000  0.0000  12 Zn 3.02-3.07, 2 Sc 3.31
Er  0.5000  0.5000  0.5000  12 Zn 3.02-3.07, 2 Sc 3.31
Sc  0.0000  0.5000  0.0000  12 Zn 3.01-3.07, 2 Er 3.31
Sc  0.5000  0.0000  0.5000  12 Zn 3.01-3.07, 2 Er 3.31
Zn  0.0000  0.2428  0.3337  3 Zn 2.55-2.56
Zn  0.0000  0.2428  0.6663  3 Zn 2.55-2.56
Zn  0.0000  0.7572  0.3337  3 Zn 2.55-2.56
Zn  0.0000  0.7572  0.6663  3 Zn 2.55-2.56
Zn  0.5000  0.2572  0.1663  3 Zn 2.55-2.56
Zn  0.5000  0.2572  0.8337  3 Zn 2.55-2.56
Zn  0.5000  0.7428  0.1663  3 Zn 2.55-2.56
Zn  0.5000  0.7428  0.8337  3 Zn 2.55-2.56

Entry 12:
Compound: Mg2PbBr
Source: Alexandria via LeMat-Bulk
Functional: PBE
Structure: optimized geometry

Calculated values
Energy above the most stable polymorph in this dataset: 0.0 meV/atom
M_tot: 0.00 Bohr magnetons per cell
E_form (uncorrected): -423 meV per atom
Calculated density: 4.8 Mg/m³

Cell lengths 8.7483, 3.6056, 8.5473 Å; angles 90.00, 120.51, 90.00 degrees
Closest atoms and distances in Å follow each position.
Sites, in units of the cell vectors:
Mg  0.1124  0.0000  0.2932  2 Br 2.83, 3 Pb 2.92-3.02
Mg  0.3876  0.5000  0.7068  2 Br 2.83, 3 Pb 2.92-3.02
Mg  0.6124  0.5000  0.2932  2 Br 2.83, 3 Pb 2.92-3.02
Mg  0.8876  0.0000  0.7068  2 Br 2.83, 3 Pb 2.92-3.02
Pb  0.0000  0.5000  0.5000  6 Mg 2.92-3.02
Pb  0.5000  0.0000  0.5000  6 Mg 2.92-3.02
Br  0.0000  0.5000  0.0000  4 Mg 2.83
Br  0.5000  0.0000  0.0000  4 Mg 2.83